A relaxed structure of CrCuAg2F6. Source: the Alexandria database, functional GGA+U.

For the total energy, the calculation gives -0.3336 Ry/atom.

Cell lengths 5.8786, 5.8786, 5.0091 Å; angles 105.40, 105.40, 56.71 degrees
Sites, in units of the cell vectors:
1 Cr 0.0000 0.0000 0.0000
2 Cu 0.5000 0.5000 0.5000
3 Ag 0.2897 0.2897 0.7715
4 Ag 0.7103 0.7103 0.2285
5 F 0.1724 0.1724 0.2947
6 F 0.1732 0.6739 0.1862
7 F 0.3261 0.8268 0.8138
8 F 0.6739 0.1732 0.1862
9 F 0.8268 0.3261 0.8138
10 F 0.8276 0.8276 0.7053

A relaxed structure of CrCuAgF6. Source: the Alexandria database, functional GGA+U.

For the total energy, the calculation gives -0.3518 Ry/atom.

Cell lengths 5.3548, 5.3548, 10.2126 Å; angles 90.00, 90.00, 120.00 degrees
Sites, in units of the cell vectors:
1 Cr 0.3333 0.6667 0.2500
2 Cr 0.6667 0.3333 0.7500
3 Cu 0.3333 0.6667 0.7500
4 Cu 0.6667 0.3333 0.2500
5 Ag 0.0000 0.0000 0.0000
6 Ag 0.0000 0.0000 0.5000
7 F 0.0163 0.3724 0.1453
8 F 0.0163 0.6439 0.3547
9 F 0.3561 0.3724 0.3547
10 F 0.3561 0.9837 0.1453
11 F 0.3724 0.0163 0.6453
12 F 0.3724 0.3561 0.8547
13 F 0.6276 0.6439 0.1453
14 F 0.6276 0.9837 0.3547
15 F 0.6439 0.0163 0.8547
16 F 0.6439 0.6276 0.6453
17 F 0.9837 0.3561 0.6453
18 F 0.9837 0.6276 0.8547